--- a ---
TbYNi: relaxed, PBE.

Structure (POSCAR):
```
TbYNi
1.0
4.6503 0.0000 0.0000
0.0000 6.2518 3.6073
0.0000 -6.2518 3.6073
Y Ni Tb
3 3 3
Direct
0.5000 0.4046 0.0002
0.5000 0.5956 0.5956
0.5000 0.0002 0.4046
0.0000 0.6666 0.3332
0.0000 0.3332 0.6666
0.5000 0.0000 0.0000
0.0000 0.2667 0.2667
0.0000 0.0000 0.7332
0.0000 0.7332 0.0000
```

Output
Space-group type: P-62m

=====

--- b ---
TbYNi: relaxed, PBE.

Structure (POSCAR):
```
TbYNi
1.0
1.9820 -3.0859 3.0132
0.2479 1.0272 4.6276
-2.7079 -2.3597 3.1032
Ni Y Tb
1 1 1
Direct
0.0000 0.0000 0.0000
0.7500 0.7500 0.7500
0.2500 0.2500 0.2500
```

Output
Space-group type: F-43m

=====

Quick one: least stable of them? b

=====

--- a ---
TbZnNi: relaxed, PBE.

Structure (POSCAR):
```
TbZnNi
1.0
4.2521 0.0000 0.0000
-2.1261 3.6825 0.0000
0.0000 0.0000 7.1811
Zn Tb Ni
2 2 2
Direct
0.6667 0.3333 0.2500
0.3333 0.6667 0.7500
0.0000 0.0000 0.5000
0.0000 0.0000 0.0000
0.3333 0.6667 0.2500
0.6667 0.3333 0.7500
```

Output
Space-group type: P6_3/mmc

=====

--- b ---
TbZnNi: relaxed, PBE.

Structure (POSCAR):
```
TbZnNi
1.0
6.9322 0.0000 0.0000
0.0000 4.3983 0.0000
0.0000 0.0000 7.0748
Ni Tb Zn
4 4 4
Direct
0.1829 0.2500 0.0742
0.6829 0.2500 0.4258
0.8171 0.7500 0.9258
0.3171 0.7500 0.5742
0.0154 0.7500 0.2995
0.9846 0.2500 0.7005
0.4846 0.2500 0.7995
0.5154 0.7500 0.2005
0.1913 0.7500 0.9061
0.8087 0.2500 0.0939
0.6913 0.7500 0.5939
0.3087 0.2500 0.4061
```

Output
Space-group type: Pnma

=====

--- c ---
TbZnNi: relaxed, PBE.

Structure (POSCAR):
```
TbZnNi
1.0
6.9411 0.0000 0.0000
-3.4706 6.0112 0.0000
0.0000 0.0000 3.8241
Zn Tb Ni
3 3 3
Direct
0.0000 0.2407 0.0000
0.7593 0.7593 0.0000
0.2407 0.0000 0.0000
0.4117 0.4117 0.5000
0.0000 0.5883 0.5000
0.5883 0.0000 0.5000
0.6667 0.3333 0.0000
0.0000 0.0000 0.5000
0.3333 0.6667 0.0000
```

Output
Space-group type: P-62m

=====

Quick one: least stable of them? a

=====

--- a ---
TbZnNi: relaxed, PBE.

Structure (POSCAR):
```
TbZnNi
1.0
-6.8113 0.4768 -0.3303
2.9609 -2.9641 5.4016
0.1573 3.5285 1.8501
Ni Tb Zn
3 3 3
Direct
0.2320 0.0000 0.0000
0.0000 0.2320 0.0000
0.7680 0.7680 0.0000
0.0000 0.5878 0.5000
0.5878 0.0000 0.5000
0.4122 0.4122 0.5000
0.3333 0.6667 0.0000
0.6667 0.3333 0.0000
0.0000 0.0000 0.5000
```

Output
Space-group type: P-62m

=====

--- b ---
TbZnNi: relaxed, PBE.

Structure (POSCAR):
```
TbZnNi
1.0
4.7208 0.0000 0.0000
-2.3604 4.0883 0.0000
0.0000 0.0000 5.7380
Tb Ni Zn
2 2 2
Direct
0.6667 0.3333 0.2500
0.3333 0.6667 0.7500
0.0000 0.0000 0.5000
0.0000 0.0000 0.0000
0.3333 0.6667 0.2500
0.6667 0.3333 0.7500
```

Output
Space-group type: P6_3/mmc

=====

--- c ---
TbZnNi: relaxed, PBE.

Structure (POSCAR):
```
TbZnNi
1.0
7.7889 0.0000 0.0000
-3.8944 6.7454 0.0000
0.0000 0.0000 3.1339
Zn Tb Ni
3 3 3
Direct
0.3333 0.6667 0.5000
0.6667 0.3333 0.5000
0.0000 0.0000 0.0000
0.2964 0.0000 0.5000
0.7036 0.7036 0.5000
0.0000 0.2964 0.5000
0.0000 0.6296 0.0000
0.6296 0.0000 0.0000
0.3704 0.3704 0.0000
```

Output
Space-group type: P-62m

=====

Quick one: least stable of them? c

=====

--- a ---
TcNi: relaxed, PBE.

Structure (POSCAR):
```
TcNi
1.0
2.6379 0.0000 0.0000
-1.3189 2.2844 0.0000
0.0000 0.0000 4.2266
Tc Ni
1 1
Direct
0.3333 0.6667 0.2500
0.6667 0.3333 0.7500
```

Output
Space-group type: P-6m2

=====

--- b ---
TcNi: relaxed, PBE.

Structure (POSCAR):
```
TcNi
1.0
-3.6537 0.6706 1.5261
0.4959 -0.2755 -3.9757
-0.7701 -4.7215 0.2311
Ni Tc
2 2
Direct
0.0000 0.0000 0.9415
0.3333 0.6667 0.4415
0.3333 0.6667 0.9335
0.0000 0.0000 0.4335
```

Output
Space-group type: P6_3mc

=====

Quick one: least stable of them? b